# 1
## AcCuH2O4 (PBE-GGA)

Data for an optimized crystal structure of AcCuH2O4.

Properties
Space group = I222, No. 23
ρ = 6.6 Mg/m³
Raw total energy = -5.852 eV per atom
Size of the total moment = 0.00 μB/f.u.

a = 4.9815 Å, b = 4.9815 Å, c = 4.9815 Å
α = 122.32°, β = 110.89°, γ = 96.24°
Closest atoms and distances in Å follow each position.
Positions (direct):
Ac 0.0000 0.0000 0.0000  8 O 2.55-2.79
Cu 0.5000 0.5000 0.0000  4 O 1.87
H 0.3265 0.8265 0.5000  2 O 1.22
H 0.6735 0.1735 0.5000  2 O 1.22
O 0.2202 0.0432 0.6275  1 H 1.22
O 0.4158 0.5928 0.3725  1 H 1.22
O 0.5842 0.9568 0.1770  1 H 1.22
O 0.7798 0.4072 0.8230  1 H 1.22

***

# 2
## KMoRh (PBE-GGA)

Data for an optimized crystal structure of KMoRh.

Properties
ΔE to the lowest computed polymorph = 99 meV/atom
Space group = Fmm2, No. 42
N(E_F) = 2.6 states/eV/cell
ρ = 6.7 Mg/m³
Raw total energy = -5.644 eV per atom
Size of the total moment = 0.00 μB/f.u.

a = 8.2367 Å, b = 8.0789 Å, c = 2.8087 Å
α = 83.27°, β = 76.93°, γ = 19.79°
Closest atoms and distances in Å follow each position.
Positions (direct):
K 0.0000 0.0000 0.0000  4 K 2.81
Mo 0.7012 0.7012 0.2988  2 Rh 2.58, 4 Mo 2.81
Rh 0.3276 0.3276 0.6724  2 Mo 2.58, 4 Rh 2.81